Record 1
TaTlIr (PBE-GGA, optimized geometry); mass density = 16.58 g/cm³; total moment = 0.0 μB/f.u.; raw total energy = -22.8 eV per formula unit; calculated volume = 19.283 Å³/atom; space-group type = No. 107
1.0
6.339 -0.081 0.085
5.610 2.952 0.092
0.729 0.169 3.029
Tl Ta Ir
1 1 1
direct
0.335 0.335 0.665 Tl
0.643 0.643 0.357 Ta
0.022 0.022 0.978 Ir

***

Record 2
PaNiN2 (PBE-GGA, optimized geometry); mass density = 8.34 g/cm³; total moment = 1.0 μB/f.u.; uncorrected formation energy = -0.936 eV per atom; calculated volume = 15.808 Å³/atom; space-group type = No. 166
1.0
3.684 0.000 0.000
1.842 3.190 0.000
1.842 1.063 5.380
N Ni Pa
2 1 1
direct
0.111 0.111 0.666 N
0.889 0.889 0.334 N
0.000 0.000 0.000 Ni
0.500 0.500 0.500 Pa

***

Record 3
CaMnSn2 (PBE-GGA, optimized geometry); mass density = 5.49 g/cm³; total moment = 2.5 μB/f.u.; raw total energy = -19.5 eV per formula unit; calculated volume = 25.120 Å³/atom; space-group type = No. 166
1.0
3.804 0.000 0.000
1.902 3.294 0.000
1.902 1.098 8.018
Sn Mn Ca
2 1 1
direct
0.734 0.734 0.799 Sn
0.266 0.266 0.201 Sn
0.000 0.000 0.000 Mn
0.500 0.500 0.500 Ca

***

Record 4
PmGd2Tm (PBE-GGA, optimized geometry); mass density = 8.01 g/cm³; total moment = 16.2 μB/f.u.; raw total energy = -37.0 eV per formula unit; calculated volume = 32.583 Å³/atom; space-group type = No. 225
1.0
-4.936 0.450 2.796
-1.290 -3.717 4.112
-0.047 1.676 5.438
Pm Gd Tm
1 2 1
direct
0.000 0.000 0.000 Pm
0.250 0.250 0.250 Gd
0.750 0.750 0.750 Gd
0.500 0.500 0.500 Tm

***

Record 5
Ta3BiTe (PBE-GGA, optimized geometry); mass density = 10.48 g/cm³; total moment = 0.0 μB/f.u.; uncorrected formation energy = 2.241 eV per atom; calculated volume = 27.874 Å³/atom; space-group type = No. 221
1.0
-3.437 -3.811 -0.737
2.296 -2.789 3.719
-3.130 2.139 3.537
Ta Bi Te
3 1 1
direct
0.500 0.000 0.000 Ta
0.000 0.500 0.000 Ta
0.000 0.000 0.500 Ta
0.000 0.000 0.000 Bi
0.500 0.500 0.500 Te

***

Record 6
SrPr12Sn4N3 (PBE-GGA, optimized geometry); mass density = 6.92 g/cm³; total moment = 0.0 μB/f.u.; uncorrected formation energy = -0.483 eV per atom; calculated volume = 27.540 Å³/atom; space-group type = No. 229
1.0
8.944 0.000 0.000
-2.981 8.433 0.000
-2.981 -4.216 7.303
Sn N Pr Sr
4 3 12 1
direct
0.000 0.500 0.000 Sn
0.000 0.000 0.500 Sn
0.500 0.500 0.500 Sn
0.500 0.000 0.000 Sn
0.000 0.500 0.500 N
0.500 0.000 0.500 N
0.500 0.500 0.000 N
0.000 0.727 0.727 Pr
0.250 0.500 0.750 Pr
0.273 0.273 0.000 Pr
0.750 0.500 0.250 Pr
0.250 0.750 0.500 Pr
0.500 0.750 0.250 Pr
0.727 0.000 0.727 Pr
0.000 0.273 0.273 Pr
0.727 0.727 0.000 Pr
0.500 0.250 0.750 Pr
0.273 0.000 0.273 Pr
0.750 0.250 0.500 Pr
0.000 0.000 0.000 Sr

***

Record 7
NaGaI2F (PBE-GGA, optimized geometry); mass density = 4.22 g/cm³; total moment = 0.0 μB/f.u.; uncorrected formation energy = -1.149 eV per atom; calculated volume = 28.749 Å³/atom; space-group type = No. 123
1.0
-4.624 -2.305 -2.747
3.330 -1.096 -4.686
0.955 -3.777 1.562
F I Na Ga
1 2 1 1
direct
0.000 0.000 0.500 F
0.000 0.500 0.000 I
0.500 0.000 0.000 I
0.500 0.500 0.500 Na
0.000 0.000 0.000 Ga

***

Record 8
KHgRh (PBE-GGA, optimized geometry); mass density = 8.37 g/cm³; total moment = 0.0 μB/f.u.; raw total energy = -7.3 eV per formula unit; calculated volume = 22.659 Å³/atom; space-group type = No. 156
1.0
-0.711 -1.896 -2.431
0.983 -1.241 2.739
-7.426 -0.400 2.485
Rh K Hg
1 1 1
direct
0.333 0.667 0.684 Rh
0.667 0.333 0.354 K
0.000 0.000 0.963 Hg

***

Record 9
TlGeOs2Rh (PBE-GGA, optimized geometry); mass density = 10.18 g/cm³; total moment = 4.3 μB/f.u.; raw total energy = -23.6 eV per formula unit; calculated volume = 24.798 Å³/atom; space-group type = No. 123
1.0
-3.533 0.892 -3.436
-1.487 -4.705 0.308
-3.214 1.253 3.631
Rh Os Tl Ge
1 2 1 1
direct
0.000 0.500 0.000 Rh
0.000 0.000 0.500 Os
0.500 0.000 0.000 Os
0.000 0.000 0.000 Tl
0.500 0.500 0.500 Ge

***

Record 10
RbYHf (PBE-GGA, optimized geometry); mass density = 4.49 g/cm³; total moment = 0.0 μB/f.u.; raw total energy = -16.1 eV per formula unit; calculated volume = 43.514 Å³/atom; space-group type = No. 4
1.0
-1.456 -4.837 2.368
1.947 0.779 2.789
-10.010 7.824 4.803
Hf Rb Y
2 2 2
direct
0.896 0.421 0.416 Hf
0.104 0.921 0.584 Hf
0.195 0.385 0.853 Rb
0.805 0.885 0.147 Rb
0.384 0.924 0.395 Y
0.616 0.424 0.605 Y

***

Record 11
YSi2P (PBE-GGA, optimized geometry); mass density = 3.78 g/cm³; total moment = 0.0 μB/f.u.; uncorrected formation energy = -0.202 eV per atom; calculated volume = 19.345 Å³/atom; space-group type = No. 160
1.0
7.303 0.020 0.012
6.421 3.480 0.012
6.421 1.638 3.071
Si P Y
2 1 1
direct
0.004 0.004 0.004 Si
0.265 0.265 0.265 Si
0.735 0.735 0.735 P
0.495 0.495 0.495 Y

***

Record 12
KAcNd2Se4 (PBE-GGA, optimized geometry); mass density = 6.11 g/cm³; total moment = 0.0 μB/f.u.; uncorrected formation energy = -1.789 eV per atom; calculated volume = 29.569 Å³/atom; space-group type = No. 10
1.0
-3.682 -1.910 -1.172
0.889 -5.171 5.636
-3.336 2.624 6.205
Se Ac Nd K
4 1 2 1
direct
0.000 0.765 0.747 Se
0.500 0.770 0.238 Se
0.500 0.230 0.762 Se
0.000 0.235 0.253 Se
0.500 0.500 0.000 Ac
0.500 0.000 0.500 Nd
0.000 0.000 0.000 Nd
0.000 0.500 0.500 K